(1)
Computed, not measured: a relaxed TcMo4Pb crystal at the PBE-GGA level of DFT.

Cell: 5.278 5.278 5.278 Å, 60.00 60.00 60.00°
Sites, in units of the cell vectors:
1 Tc 0.000 0.000 0.000
2 Mo 0.129 0.624 0.624
3 Mo 0.624 0.129 0.624
4 Mo 0.624 0.624 0.129
5 Mo 0.624 0.624 0.624
6 Pb 0.250 0.250 0.250

***

(2)
Computed, not measured: a relaxed YGa2Ge2 crystal at the PBE-GGA level of DFT.

Cell: 5.631 5.631 5.631 Å, 129.22 129.22 74.66°
Sites, in units of the cell vectors:
1 Y 0.000 0.000 0.000
2 Ga 0.362 0.362 0.000
3 Ga 0.638 0.638 0.000
4 Ge 0.250 0.750 0.500
5 Ge 0.750 0.250 0.500

***

Listing formation energy for the structures above in their given order: 0.539; -0.233 eV per atom.